# 1
GGA-PBE Pr2AlGa3Ni4, relaxed; density of states at the Fermi level = 10.649 states/eV per cell; space-group type = P-4m2 (115); formation energy from the elements = -0.548 eV/atom
1.0
-1.530 -2.012 -3.362
-3.233 -1.390 2.303
-5.172 7.998 -2.433
Ga Ni Al Pr
3 4 1 2
direct
0.000 0.000 0.500
0.500 0.000 0.877
0.000 0.500 0.123
0.500 0.000 0.630
0.000 0.500 0.370
0.500 0.500 0.000
0.000 0.000 0.000
0.500 0.500 0.500
0.500 0.000 0.245
0.000 0.500 0.755

# 2
GGA-PBE PrAlGa2Ni2, relaxed; density of states at the Fermi level = 4.065 states/eV per cell; space-group type = P4/mmm (123); formation energy from the elements = -0.296 eV/atom
1.0
4.365 0.000 0.000
0.000 4.365 0.000
0.000 0.000 5.715
Pr Ni Ga Al
1 2 2 1
direct
0.000 0.000 0.500
0.500 0.000 0.000
0.000 0.500 0.000
0.500 0.500 0.250
0.500 0.500 0.750
0.000 0.000 0.000

# 3
GGA-PBE PrAlGa2Ni5, relaxed; density of states at the Fermi level = 6.527 states/eV per cell; space-group type = P4/mmm (123); formation energy from the elements = -0.082 eV/atom
1.0
4.507 0.000 0.000
0.000 4.507 0.000
0.000 0.000 7.027
Ni Al Ga Pr
5 1 2 1
direct
0.500 0.000 0.190
0.500 0.500 0.500
0.000 0.500 0.810
0.000 0.500 0.190
0.500 0.000 0.810
0.000 0.000 0.000
0.500 0.500 0.823
0.500 0.500 0.177
0.000 0.000 0.500

# 4
GGA-PBE PrAlGa2Ni4, relaxed; density of states at the Fermi level = 5.158 states/eV per cell; space-group type = R-3m (166); formation energy from the elements = -0.480 eV/atom
1.0
-2.940 -2.554 -1.229
0.016 -3.887 1.253
-5.631 -0.008 6.700
Ni Pr Ga Al
4 1 2 1
direct
0.135 0.135 0.596
0.407 0.407 0.779
0.865 0.865 0.404
0.593 0.593 0.221
0.000 0.000 0.000
0.762 0.762 0.715
0.238 0.238 0.285
0.500 0.500 0.500